First-principles (PBE+U) data for LiCoN2F after structural relaxation, as listed in Alexandria via LeMat-Bulk.

It has space group P4/mmm (No. 123), with a = 3.400 Å, b = 3.400 Å, c = 5.945 Å, α = 90.00°, β = 90.00° and γ = 90.00°. The inequivalent atoms are Li at (0.000, 0.000, 0.000), Co at (0.500, 0.500, 0.500), N at (0.000, 0.500, 0.500) and F at (0.500, 0.500, 0.000).

The value obtained for the relative energy among the computed polymorphs is 0.0 meV/atom. The total magnetic moment comes out at 0.074 μB/atom. The density is 2.728 g/cm³.